VASP calculation (PBE) on ScCr2As after structural relaxation.

a b c (Å): 3.877 3.941 4.272
angles (deg): 90.00 90.00 90.00
Fractional coordinates of all 4 atoms:
Sc (0.000, 0.000, 0.000)
Cr (0.000, 0.500, 0.500)
Cr (0.500, 0.000, 0.500)
As (0.500, 0.500, 0.000)

Values from the calculation:
The electronic total energy is -30.8 eV for the cell shown. The calculated formation energy comes out at -136 meV/atom. Its space group is Pmmm.